--- i ---
A relaxed RbYOs2 crystal, computed with PBE.

Cell lengths 4.690, 4.690, 20.056 Å; angles 90.00, 90.00, 90.00 degrees
Atoms (fractional coordinates):
1 Rb 0.000 0.000 0.000
2 Rb 0.000 0.500 0.250
3 Rb 0.500 0.000 0.750
4 Rb 0.500 0.500 0.500
5 Y 0.000 0.000 0.500
6 Y 0.000 0.500 0.750
7 Y 0.500 0.000 0.250
8 Y 0.500 0.500 0.000
9 Os 0.097 0.250 0.625
10 Os 0.250 0.597 0.875
11 Os 0.250 0.903 0.375
12 Os 0.403 0.250 0.125
13 Os 0.597 0.750 0.125
14 Os 0.750 0.097 0.375
15 Os 0.750 0.403 0.875
16 Os 0.903 0.750 0.625

***

--- ii ---
A relaxed RbYOs2 crystal, computed with PBE.

Cell lengths 7.029, 7.029, 7.029 Å; angles 90.00, 90.00, 90.00 degrees
Atoms (fractional coordinates):
1 Rb 0.000 0.000 0.000
2 Rb 0.000 0.500 0.500
3 Rb 0.500 0.000 0.500
4 Rb 0.500 0.500 0.000
5 Y 0.000 0.000 0.500
6 Y 0.000 0.500 0.000
7 Y 0.500 0.000 0.000
8 Y 0.500 0.500 0.500
9 Os 0.250 0.250 0.250
10 Os 0.250 0.250 0.750
11 Os 0.250 0.750 0.250
12 Os 0.250 0.750 0.750
13 Os 0.750 0.250 0.250
14 Os 0.750 0.250 0.750
15 Os 0.750 0.750 0.250
16 Os 0.750 0.750 0.750

***

Stability, highest: i

***

--- i ---
A relaxed RbZn3Os crystal, computed with PBE.

Cell lengths 6.499, 6.499, 6.499 Å; angles 90.00, 90.00, 90.00 degrees
Atoms (fractional coordinates):
1 Rb 0.000 0.000 0.000
2 Zn 0.000 0.000 0.500
3 Zn 0.000 0.500 0.000
4 Zn 0.500 0.000 0.000
5 Os 0.500 0.500 0.500

***

--- ii ---
A relaxed RbZn3Os crystal, computed with PBE.

Cell lengths 4.964, 4.964, 4.964 Å; angles 90.00, 90.00, 90.00 degrees
Atoms (fractional coordinates):
1 Rb 0.000 0.000 0.000
2 Zn 0.000 0.500 0.500
3 Zn 0.500 0.000 0.500
4 Zn 0.500 0.500 0.000
5 Os 0.500 0.500 0.500

***

Stability, highest: ii

***

--- i ---
A relaxed RbZrOs2 crystal, computed with PBE.

Cell lengths 6.806, 6.806, 6.806 Å; angles 90.00, 90.00, 90.00 degrees
Atoms (fractional coordinates):
1 Rb 0.000 0.000 0.000
2 Rb 0.000 0.500 0.500
3 Rb 0.500 0.000 0.500
4 Rb 0.500 0.500 0.000
5 Zr 0.000 0.000 0.500
6 Zr 0.000 0.500 0.000
7 Zr 0.500 0.000 0.000
8 Zr 0.500 0.500 0.500
9 Os 0.250 0.250 0.250
10 Os 0.250 0.250 0.750
11 Os 0.250 0.750 0.250
12 Os 0.250 0.750 0.750
13 Os 0.750 0.250 0.250
14 Os 0.750 0.250 0.750
15 Os 0.750 0.750 0.250
16 Os 0.750 0.750 0.750

***

--- ii ---
A relaxed RbZrOs2 crystal, computed with PBE.

Cell lengths 4.995, 4.995, 18.337 Å; angles 90.00, 90.00, 90.00 degrees
Atoms (fractional coordinates):
1 Rb 0.000 0.000 0.000
2 Rb 0.000 0.500 0.250
3 Rb 0.500 0.000 0.750
4 Rb 0.500 0.500 0.500
5 Zr 0.000 0.000 0.500
6 Zr 0.000 0.500 0.750
7 Zr 0.500 0.000 0.250
8 Zr 0.500 0.500 0.000
9 Os 0.035 0.750 0.625
10 Os 0.250 0.035 0.375
11 Os 0.250 0.465 0.875
12 Os 0.465 0.750 0.125
13 Os 0.535 0.250 0.125
14 Os 0.750 0.535 0.875
15 Os 0.750 0.965 0.375
16 Os 0.965 0.250 0.625

***

Stability, highest: ii

***

--- i ---
A relaxed RbZr3Os crystal, computed with PBE.

Cell lengths 5.236, 5.236, 5.236 Å; angles 90.00, 90.00, 90.00 degrees
Atoms (fractional coordinates):
1 Rb 0.000 0.000 0.000
2 Zr 0.000 0.500 0.500
3 Zr 0.500 0.000 0.500
4 Zr 0.500 0.500 0.000
5 Os 0.500 0.500 0.500

***

--- ii ---
A relaxed RbZr3Os crystal, computed with PBE.

Cell lengths 4.883, 4.883, 4.883 Å; angles 90.00, 90.00, 90.00 degrees
Atoms (fractional coordinates):
1 Rb 0.000 0.000 0.000
2 Zr 0.000 0.000 0.500
3 Zr 0.000 0.500 0.000
4 Zr 0.500 0.000 0.000
5 Os 0.500 0.500 0.500

***

Stability, highest: i

***

--- i ---
A relaxed Re5Os crystal, computed with PBE.

Cell lengths 4.445, 2.776, 14.441 Å; angles 90.00, 90.00, 90.00 degrees
Atoms (fractional coordinates):
1 Re 0.000 0.000 0.000
2 Re 0.000 0.000 0.331
3 Re 0.000 0.500 0.500
4 Re 0.000 0.500 0.831
5 Re 0.500 0.000 0.110
6 Re 0.500 0.000 0.443
7 Re 0.500 0.000 0.777
8 Re 0.500 0.500 0.277
9 Re 0.500 0.500 0.610
10 Re 0.500 0.500 0.943
11 Os 0.000 0.000 0.665
12 Os 0.000 0.500 0.165

***

--- ii ---
A relaxed Re5Os crystal, computed with PBE.

Cell lengths 3.904, 11.756, 3.896 Å; angles 90.00, 90.00, 90.00 degrees
Atoms (fractional coordinates):
1 Re 0.000 0.000 0.000
2 Re 0.000 0.165 0.500
3 Re 0.000 0.335 0.000
4 Re 0.000 0.665 0.000
5 Re 0.000 0.835 0.500
6 Re 0.500 0.165 0.000
7 Re 0.500 0.335 0.500
8 Re 0.500 0.500 0.000
9 Re 0.500 0.665 0.500
10 Re 0.500 0.835 0.000
11 Os 0.000 0.500 0.500
12 Os 0.500 0.000 0.500

***

--- iii ---
A relaxed Re5Os crystal, computed with PBE.

Cell lengths 4.467, 14.117, 2.905 Å; angles 90.00, 90.00, 90.00 degrees
Atoms (fractional coordinates):
1 Re 0.000 0.000 0.000
2 Re 0.000 0.150 0.500
3 Re 0.000 0.313 0.000
4 Re 0.000 0.687 0.000
5 Re 0.000 0.850 0.500
6 Re 0.500 0.187 0.000
7 Re 0.500 0.350 0.500
8 Re 0.500 0.500 0.000
9 Re 0.500 0.650 0.500
10 Re 0.500 0.813 0.000
11 Os 0.000 0.500 0.500
12 Os 0.500 0.000 0.500

***

Stability, highest: i

***

--- i ---
A relaxed Re5Os crystal, computed with PBE.

Cell lengths 3.226, 3.226, 8.709 Å; angles 90.00, 90.00, 90.00 degrees
Atoms (fractional coordinates):
1 Re 0.000 0.000 0.000
2 Re 0.000 0.000 0.337
3 Re 0.000 0.000 0.663
4 Re 0.500 0.500 0.174
5 Re 0.500 0.500 0.826
6 Os 0.500 0.500 0.500

***

--- ii ---
A relaxed Re5Os crystal, computed with PBE.

Cell lengths 4.815, 4.815, 4.438 Å; angles 90.00, 90.00, 120.00 degrees
Atoms (fractional coordinates):
1 Re 0.000 0.668 0.000
2 Re 0.332 0.332 0.000
3 Re 0.333 0.667 0.500
4 Re 0.667 0.333 0.500
5 Re 0.668 0.000 0.000
6 Os 0.000 0.000 0.500

***

Stability, highest: ii

***

--- i ---
A relaxed ReOs7 crystal, computed with PBE.

Cell lengths 5.469, 10.937, 3.858 Å; angles 90.00, 90.00, 90.00 degrees
Atoms (fractional coordinates):
1 Re 0.000 0.000 0.000
2 Re 0.500 0.500 0.000
3 Os 0.000 0.249 0.000
4 Os 0.000 0.500 0.000
5 Os 0.000 0.751 0.000
6 Os 0.249 0.375 0.500
7 Os 0.249 0.625 0.500
8 Os 0.251 0.125 0.500
9 Os 0.251 0.875 0.500
10 Os 0.500 0.000 0.000
11 Os 0.500 0.251 0.000
12 Os 0.500 0.749 0.000
13 Os 0.749 0.125 0.500
14 Os 0.749 0.875 0.500
15 Os 0.751 0.375 0.500
16 Os 0.751 0.625 0.500

***

--- ii ---
A relaxed ReOs7 crystal, computed with PBE.

Cell lengths 3.290, 3.290, 11.039 Å; angles 90.00, 90.00, 90.00 degrees
Atoms (fractional coordinates):
1 Re 0.000 0.000 0.000
2 Os 0.000 0.000 0.252
3 Os 0.000 0.000 0.500
4 Os 0.000 0.000 0.748
5 Os 0.500 0.500 0.127
6 Os 0.500 0.500 0.373
7 Os 0.500 0.500 0.627
8 Os 0.500 0.500 0.873

***

--- iii ---
A relaxed ReOs7 crystal, computed with PBE.

Cell lengths 7.884, 7.884, 7.884 Å; angles 31.91, 31.91, 31.91 degrees
Atoms (fractional coordinates):
1 Re 0.000 0.000 0.000
2 Os 0.109 0.109 0.109
3 Os 0.229 0.229 0.229
4 Os 0.371 0.371 0.371
5 Os 0.500 0.500 0.500
6 Os 0.629 0.629 0.629
7 Os 0.771 0.771 0.771
8 Os 0.891 0.891 0.891

***

--- iv ---
A relaxed ReOs7 crystal, computed with PBE.

Cell lengths 5.465, 5.465, 5.465 Å; angles 60.00, 60.00, 60.00 degrees
Atoms (fractional coordinates):
1 Re 0.000 0.000 0.000
2 Os 0.000 0.000 0.500
3 Os 0.000 0.500 0.000
4 Os 0.000 0.500 0.500
5 Os 0.500 0.000 0.000
6 Os 0.500 0.000 0.500
7 Os 0.500 0.500 0.000
8 Os 0.500 0.500 0.500

***

Stability, highest: i

***

--- i ---
A relaxed Re4Os3 crystal, computed with PBE.

Cell lengths 2.765, 4.421, 17.253 Å; angles 90.00, 90.00, 90.00 degrees
Atoms (fractional coordinates):
1 Re 0.000 0.000 0.134
2 Re 0.000 0.000 0.866
3 Re 0.000 0.500 0.224
4 Re 0.000 0.500 0.776
5 Re 0.500 0.000 0.276
6 Re 0.500 0.000 0.724
7 Re 0.500 0.500 0.366
8 Re 0.500 0.500 0.634
9 Os 0.000 0.000 0.412
10 Os 0.000 0.000 0.588
11 Os 0.000 0.500 0.500
12 Os 0.500 0.000 0.000
13 Os 0.500 0.500 0.088
14 Os 0.500 0.500 0.912

***

--- ii ---
A relaxed Re4Os3 crystal, computed with PBE.

Cell lengths 7.154, 7.154, 7.154 Å; angles 35.26, 35.26, 35.26 degrees
Atoms (fractional coordinates):
1 Re 0.099 0.099 0.099
2 Re 0.233 0.233 0.233
3 Re 0.767 0.767 0.767
4 Re 0.901 0.901 0.901
5 Os 0.367 0.367 0.367
6 Os 0.500 0.500 0.500
7 Os 0.633 0.633 0.633

***

--- iii ---
A relaxed Re4Os3 crystal, computed with PBE.

Cell lengths 8.695, 3.890, 6.150 Å; angles 90.00, 98.14, 90.00 degrees
Atoms (fractional coordinates):
1 Re 0.000 0.000 0.000
2 Re 0.073 0.500 0.713
3 Re 0.285 0.000 0.856
4 Re 0.426 0.000 0.286
5 Re 0.500 0.500 0.000
6 Re 0.573 0.000 0.713
7 Re 0.785 0.500 0.856
8 Re 0.926 0.500 0.286
9 Os 0.143 0.000 0.427
10 Os 0.213 0.500 0.143
11 Os 0.356 0.500 0.571
12 Os 0.643 0.500 0.427
13 Os 0.713 0.000 0.143
14 Os 0.856 0.000 0.571

***

--- iv ---
A relaxed Re4Os3 crystal, computed with PBE.

Cell lengths 3.258, 3.258, 19.831 Å; angles 90.00, 90.00, 90.00 degrees
Atoms (fractional coordinates):
1 Re 0.000 0.000 0.073
2 Re 0.000 0.000 0.357
3 Re 0.000 0.000 0.643
4 Re 0.000 0.000 0.927
5 Re 0.500 0.500 0.143
6 Re 0.500 0.500 0.427
7 Re 0.500 0.500 0.573
8 Re 0.500 0.500 0.857
9 Os 0.000 0.000 0.215
10 Os 0.000 0.000 0.500
11 Os 0.000 0.000 0.785
12 Os 0.500 0.500 0.000
13 Os 0.500 0.500 0.285
14 Os 0.500 0.500 0.715

***

Stability, highest: iii

***

--- i ---
A relaxed Re4Os3 crystal, computed with PBE.

Cell lengths 7.145, 7.145, 7.145 Å; angles 35.29, 35.29, 35.29 degrees
Atoms (fractional coordinates):
1 Re 0.000 0.000 0.000
2 Re 0.133 0.133 0.133
3 Re 0.535 0.535 0.535
4 Re 0.865 0.865 0.865
5 Os 0.269 0.269 0.269
6 Os 0.402 0.402 0.402
7 Os 0.668 0.668 0.668

***

--- ii ---
A relaxed Re4Os3 crystal, computed with PBE.

Cell lengths 5.039, 5.039, 4.841 Å; angles 90.00, 90.00, 120.00 degrees
Atoms (fractional coordinates):
1 Re 0.000 0.000 0.243
2 Re 0.000 0.000 0.757
3 Re 0.333 0.667 0.000
4 Re 0.667 0.333 0.000
5 Os 0.000 0.500 0.500
6 Os 0.500 0.000 0.500
7 Os 0.500 0.500 0.500

***

Stability, highest: ii

***

--- i ---
A relaxed Re4Os3 crystal, computed with PBE.

Cell lengths 6.693, 6.693, 6.693 Å; angles 118.16, 118.16, 118.16 degrees
Atoms (fractional coordinates):
1 Re 0.000 0.000 0.000
2 Re 0.086 0.802 0.233
3 Re 0.233 0.086 0.802
4 Re 0.802 0.233 0.086
5 Os 0.336 0.485 0.743
6 Os 0.485 0.743 0.336
7 Os 0.743 0.336 0.485

***

--- ii ---
A relaxed Re4Os3 crystal, computed with PBE.

Cell lengths 6.973, 6.973, 6.973 Å; angles 36.45, 36.45, 36.45 degrees
Atoms (fractional coordinates):
1 Re 0.162 0.162 0.162
2 Re 0.295 0.295 0.295
3 Re 0.705 0.705 0.705
4 Re 0.838 0.838 0.838
5 Os 0.000 0.000 0.000
6 Os 0.432 0.432 0.432
7 Os 0.568 0.568 0.568

***

Stability, highest: i